{
  "formula": "Na2PPtPb",
  "functional": "PBE",
  "state": "relaxed",
  "lattice": [[5.9073, 0.0000, 0.0000], [0.0000, 5.9073, 0.0000], [0.0000, 0.0000, 5.0134]],
  "species": ["Na", "Na", "P", "Pt", "Pb"],
  "fractional_positions": [[0.0000, 0.5000, 0.0000], [0.5000, 0.0000, 0.0000], [0.0000, 0.0000, 0.5000], [0.5000, 0.5000, 0.5000], [0.5000, 0.5000, 0.0000]],
  "volume_a3_per_cell": 174.95,
  "total_energy_ev_per_atom": -2.800,
  "formation_energy_ev_per_atom": 0.759
}